## 1
This record from Alexandria describes an optimized crystal structure of ErNbNi2. The functional is PBE.

```
4
Lattice="4.2570 0.0000 0.0000 2.1285 3.6867 0.0000 2.1285 1.2289 4.6004" Properties=species:S:1:pos:R:3 pbc="T T T"
Ni 6.3855 3.6867 2.8244
Ni 2.1285 1.2289 1.7759
Er 0.0000 0.0000 0.0000
Nb 4.2570 2.4578 2.3002
```

## 2
This record from Alexandria describes an optimized crystal structure of ErNbNi2. The functional is PBE.

```
4
Lattice="-0.6317 -3.1360 -0.1571 3.1342 -0.6202 -0.2235 0.3861 -0.4052 6.5375" Properties=species:S:1:pos:R:3 pbc="T T T"
Er 1.4443 -2.0807 3.0784
Ni 0.0779 -0.0818 1.3198
Ni 0.3081 -0.3234 5.2176
Nb 1.2513 -1.8781 -0.1903
```

Which structure is the most stable? The one labeled 1.

## 1
This record from Alexandria describes an optimized crystal structure of ErNbOs2. The functional is PBE.

```
4
Lattice="4.6251 0.0000 0.0000 2.3126 4.0055 0.0000 2.3126 1.3352 3.7768" Properties=species:S:1:pos:R:3 pbc="T T T"
Nb 4.6251 2.6703 1.8884
Os 2.3126 1.3352 0.9445
Os 6.9377 4.0055 2.8324
Er 0.0000 0.0000 0.0000
```

## 2
This record from Alexandria describes an optimized crystal structure of ErNbOs2. The functional is PBE.

```
4
Lattice="3.2221 0.0000 0.0000 0.0000 3.2221 0.0000 0.0000 0.0000 6.8407" Properties=species:S:1:pos:R:3 pbc="T T T"
Er 1.6111 1.6111 3.4204
Nb 1.6111 1.6111 0.0000
Os 0.0000 0.0000 1.5333
Os 0.0000 0.0000 5.3074
```

Which structure is the most stable? The one labeled 2.

## 1
This record from Alexandria describes an optimized crystal structure of ErPaNb. The functional is PBE.

```
3
Lattice="3.5392 0.0000 0.0000 0.0000 3.5392 0.0000 -1.7696 -1.7696 5.6937" Properties=species:S:1:pos:R:3 pbc="T T T"
Er 0.0000 0.0000 0.0402
Nb 1.7696 1.7696 2.0993
Pa 0.0000 0.0000 3.5543
```

## 2
This record from Alexandria describes an optimized crystal structure of ErPaNb. The functional is PBE.

```
6
Lattice="-3.3453 -0.7626 -0.1812 0.4220 -1.0830 -3.2333 3.9999 -11.2609 6.1194" Properties=species:S:1:pos:R:3 pbc="T T T"
Er 2.1987 -10.5539 3.8220
Er -1.1221 -2.5525 -1.1171
Pa 0.3021 -9.3888 1.3586
Pa 0.7745 -3.7176 1.3463
Nb 1.4254 -6.8417 2.4777
Nb -0.3487 -6.2647 0.2272
```

Which structure is the most stable? The one labeled 1.

## 1
This record from Alexandria describes an optimized crystal structure of ErNbRh2. The functional is PBE.

```
4
Lattice="-0.1759 2.8277 -1.7994 -2.8193 1.8211 0.0073 1.6497 5.6246 5.5474" Properties=species:S:1:pos:R:3 pbc="T T T"
Rh -0.9449 7.8038 2.9653
Rh -0.4005 2.4696 0.7899
Er -0.6727 5.1367 1.8776
Nb 0.0000 0.0000 0.0000
```

## 2
This record from Alexandria describes an optimized crystal structure of ErNbRh2. The functional is PBE.

```
4
Lattice="-3.0770 0.7212 -0.3313 -0.7710 -3.0312 0.5615 -0.4234 1.4010 6.9810" Properties=species:S:1:pos:R:3 pbc="T T T"
Er -2.1356 -0.4545 3.6056
Rh -0.0935 0.3093 1.5415
Rh -0.3299 1.0916 5.4395
Nb -1.9240 -1.1550 0.1151
```

Which structure is the most stable? The one labeled 2.

## 1
This record from Alexandria describes an optimized crystal structure of ErNbRu. The functional is PBE.

```
18
Lattice="-2.8398 3.9959 -4.5871 3.8423 0.0866 -7.2163 -4.4323 -3.9572 -5.6162" Properties=species:S:1:pos:R:3 pbc="T T T"
Nb -0.3923 -2.3800 -8.0457
Nb -1.4384 2.0240 -2.3235
Nb -1.2447 -2.3663 -12.4192
Nb -0.9505 -0.4314 -6.0027
Nb -1.7334 0.0888 -8.7398
Nb -0.0980 -0.4450 -1.6293
Er -0.6024 2.4190 -10.6541
Er 0.9204 -0.7112 -10.6898
Er -4.1620 0.5716 -6.4258
Er -3.2170 -2.7335 -9.8915
Er -0.0254 2.5951 -7.2254
Er -4.7396 0.3970 -9.8542
Ru -2.0685 -0.2225 -11.2611
Ru -1.7741 1.7125 -4.8448
Ru -2.8189 2.3989 -8.5130
Ru -3.1133 0.4639 -14.9294
Ru 1.0448 0.1021 -7.9915
Ru -3.0917 -1.9226 -7.1944
```

## 2
This record from Alexandria describes an optimized crystal structure of ErNbRu. The functional is PBE.

```
3
Lattice="3.2683 0.0000 0.0000 0.0000 3.2683 0.0000 -1.6342 -1.6342 5.4206" Properties=species:S:1:pos:R:3 pbc="T T T"
Er 0.0000 0.0000 0.0695
Ru 1.6342 1.6342 1.9760
Nb 0.0000 0.0000 3.3752
```

Which structure is the most stable? The one labeled 1.

## 1
This record from Alexandria describes an optimized crystal structure of ErNbSn2. The functional is PBE.

```
4
Lattice="3.1982 0.0000 0.0000 1.5991 2.7697 0.0000 1.5991 0.9232 11.1862" Properties=species:S:1:pos:R:3 pbc="T T T"
Er 3.1982 1.8465 5.5931
Nb 0.0000 0.0000 0.0000
Sn 1.5991 0.9232 8.3290
Sn 4.7973 2.7697 2.8573
```

## 2
This record from Alexandria describes an optimized crystal structure of ErNbSn2. The functional is PBE.

```
4
Lattice="3.7442 0.0000 0.0000 0.0000 3.7442 0.0000 0.0000 0.0000 6.5735" Properties=species:S:1:pos:R:3 pbc="T T T"
Nb 1.8721 1.8721 0.0000
Sn 0.0000 0.0000 5.1123
Sn 0.0000 0.0000 1.4612
Er 1.8721 1.8721 3.2868
```

Which structure is the most stable? The one labeled 2.

## 1
This record from Alexandria describes an optimized crystal structure of ErZrNb. The functional is PBE.

```
3
Lattice="-1.3425 1.7868 -2.9084 -3.3376 -1.3423 0.7160 1.3030 3.9932 4.1648" Properties=species:S:1:pos:R:3 pbc="T T T"
Nb -2.7418 1.8552 0.0924
Zr -0.6268 2.5477 1.8545
Er -0.0086 0.0348 0.0253
```

## 2
This record from Alexandria describes an optimized crystal structure of ErZrNb. The functional is PBE.

```
6
Lattice="3.3142 0.0000 0.0000 1.6571 2.8702 0.0000 1.6571 0.9567 15.0657" Properties=species:S:1:pos:R:3 pbc="T T T"
Nb 4.9713 2.8702 8.5093
Nb 1.6571 0.9567 6.5564
Zr 1.6571 0.9567 10.8151
Zr 4.9713 2.8702 4.2505
Er 3.3142 1.9135 13.5382
Er 3.3142 1.9135 1.5275
```

Which structure is the most stable? The one labeled 1.

## 1
This record from Alexandria describes an optimized crystal structure of ErZr2Nb. The functional is PBE.

```
4
Lattice="3.2263 0.0000 0.0000 1.6132 2.7941 0.0000 1.6132 0.9314 10.3853" Properties=species:S:1:pos:R:3 pbc="T T T"
Zr 4.8395 2.7941 8.0205
Zr 1.6132 0.9314 2.3648
Nb 0.0000 0.0000 0.0000
Er 3.2263 1.8627 5.1927
```

## 2
This record from Alexandria describes an optimized crystal structure of ErZr2Nb. The functional is PBE.

```
4
Lattice="5.0466 0.0000 0.0000 2.5233 4.3705 0.0000 2.5233 1.4568 4.1205" Properties=species:S:1:pos:R:3 pbc="T T T"
Zr 2.5233 1.4568 1.0301
Zr 7.5699 4.3705 3.0904
Er 0.0000 0.0000 0.0000
Nb 5.0466 2.9137 2.0603
```

## 3
This record from Alexandria describes an optimized crystal structure of ErZr2Nb. The functional is PBE.

```
4
Lattice="-1.4036 0.6667 3.2368 -1.4984 -3.2628 0.0223 5.9980 -2.7328 3.1639" Properties=species:S:1:pos:R:3 pbc="T T T"
Zr 1.2353 -0.5628 0.6516
Zr 4.7627 -2.1700 2.5122
Nb -1.4510 -1.2981 1.6296
Er 1.5480 -2.6645 3.2115
```

Which structure is the most stable? The one labeled 3.

## 1
This record from Alexandria describes an optimized crystal structure of Nd7Er2. The functional is PBE.

```
9
Lattice="-2.9266 -2.0085 -0.4198 5.3297 -8.1878 2.0177 -4.4795 4.9826 7.3908" Properties=species:S:1:pos:R:3 pbc="T T T"
Nd -4.3192 2.1724 4.5021
Nd 1.9346 -6.2243 1.0765
Nd -1.4633 -1.0042 -0.2099
Nd 1.6440 -2.5256 0.6224
Nd -1.3818 1.5369 2.2798
Nd -1.1551 -2.1660 3.2003
Nd 0.5880 -2.2165 6.5064
Er -1.2098 0.5925 5.5998
Er 2.0600 -3.7977 3.8087
```

## 2
This record from Alexandria describes an optimized crystal structure of Nd7Er2. The functional is PBE.

```
9
Lattice="-5.5367 -1.7485 -2.4700 3.6217 -4.2448 2.9458 -4.0436 1.9045 7.7158" Properties=species:S:1:pos:R:3 pbc="T T T"
Nd 1.0788 -2.1990 4.5056
Nd -3.9858 -2.7147 5.4889
Nd 0.0000 0.0000 0.0000
Nd -1.5007 -0.1413 6.1561
Nd -4.5600 0.6926 4.3470
Nd -1.9728 -1.3741 2.7027
Nd -5.0203 -0.5365 0.8988
Er -2.4839 -2.5806 -0.6648
Er 0.5689 -3.4127 1.1405
```

Which structure is the most stable? The one labeled 2.

## 1
This record from Alexandria describes an optimized crystal structure of Nd3Er7. The functional is PBE.

```
10
Lattice="4.8386 0.0000 -1.3621 -0.4378 6.9384 -1.5552 0.0370 0.2850 9.4070" Properties=species:S:1:pos:R:3 pbc="T T T"
Er 0.9372 0.8064 3.3293
Er 2.5605 5.6175 -0.1795
Er 1.6625 5.0868 5.9059
Er 2.7754 2.1366 0.5839
Er 3.5007 6.4169 3.1605
Er -0.2189 3.4692 -0.7776
Er 1.8774 1.6059 6.6693
Nd 0.0000 0.0000 0.0000
Nd 0.7124 4.2811 2.5309
Nd 3.7254 2.9423 3.9589
```

## 2
This record from Alexandria describes an optimized crystal structure of Nd3Er7. The functional is PBE.

```
20
Lattice="-2.9953 1.6534 -5.4975 -9.3048 -3.5386 4.0055 2.9364 10.2155 1.4725" Properties=species:S:1:pos:R:3 pbc="T T T"
Nd -2.1427 8.8628 -2.7835
Nd -7.9252 -0.1439 1.4717
Nd -6.7739 3.8616 2.0491
Nd -4.2768 1.2436 -0.0988
Nd -5.7911 7.4753 -1.2129
Nd -3.2940 4.8573 -3.3608
Er 0.3924 5.5431 -0.1390
Er -5.6590 4.1151 -1.0847
Er -1.5742 2.6916 -1.2789
Er -9.5093 2.6508 0.5727
Er 0.2916 9.1826 -0.3432
Er -5.6207 6.9341 2.2019
Er -3.4579 4.0788 1.5184
Er -8.6061 6.0892 -0.2390
Er -4.5595 1.8468 -3.7197
Er -2.7022 6.4909 -0.5430
Er -5.2850 1.0795 3.0501
Er -2.2428 8.3059 2.1277
Er -10.4718 -0.4017 -1.1746
Er -6.8741 -0.1120 -1.6940
```

Which structure is the most stable? The one labeled 1.

## 1
This record from Alexandria describes an optimized crystal structure of NdEr3. The functional is PBE.

```
4
Lattice="-4.9472 -2.6824 -0.5967 -1.2057 -4.4699 3.2545 -3.9497 0.4181 4.0312" Properties=species:S:1:pos:R:3 pbc="T T T"
Nd -5.0513 -3.3671 3.3445
Er -7.5770 -5.0506 5.0168
Er -2.5257 -1.6835 1.6723
Er 0.0000 0.0000 0.0000
```

## 2
This record from Alexandria describes an optimized crystal structure of NdEr3. The functional is PBE.

```
4
Lattice="-1.2839 -2.6257 2.1564 5.7193 -2.4837 0.3811 -1.1322 5.7506 3.2691" Properties=species:S:1:pos:R:3 pbc="T T T"
Er 2.2217 -2.5564 1.2690
Er -1.0414 0.7103 3.3039
Er 2.4507 0.7533 2.3765
Nd 5.7026 -2.4764 0.3800
```

Which structure is the most stable? The one labeled 2.

## 1
This record from Alexandria describes an optimized crystal structure of Nd5Er2. The functional is PBE.

```
14
Lattice="-1.6829 -4.4226 4.2578 8.9990 -1.0034 2.5148 -0.7462 7.9871 3.2430" Properties=species:S:1:pos:R:3 pbc="T T T"
Nd 3.1285 2.1569 6.6263
Nd 1.0924 -0.7759 5.9509
Nd 6.1460 0.1784 5.8065
Nd 0.4239 2.3827 4.2091
Nd 3.4414 0.4042 3.3892
Nd 6.4652 -1.4989 2.6046
Nd 0.8508 -3.9271 4.1679
Nd 5.4774 3.3370 4.0646
Nd -0.2572 5.5857 2.5509
Nd 6.8271 -3.0246 7.4646
Er 4.1228 -2.7362 5.1110
Er 0.1768 -0.7798 2.4532
Er 2.4471 5.2972 4.9045
Er 6.3931 3.3409 7.5623
```

## 2
This record from Alexandria describes an optimized crystal structure of Nd5Er2. The functional is PBE.

```
7
Lattice="3.4399 0.0000 0.8764 1.5422 8.4502 1.1358 -0.3047 -0.2106 8.3850" Properties=species:S:1:pos:R:3 pbc="T T T"
Nd 1.5561 2.8659 8.2704
Nd 3.1213 5.3737 2.1268
Nd 0.0000 0.0000 0.0000
Nd 0.9611 2.7276 3.4168
Nd 3.7164 5.5120 6.9805
Er 2.1356 0.5987 5.9959
Er 2.5418 7.6410 4.4014
```

Which structure is the most stable? The one labeled 1.